# PBE-GGA ZrScCu, optimized geometry
data_ZrScCu
_symmetry_space_group_name_H-M 'P 1'
_symmetry_Int_Tables_number 1
_symmetry_space_group_name_Hall 'P 1'
_cell_length_a 4.506
_cell_length_b 4.506
_cell_length_c 4.506
_cell_angle_alpha 60.00
_cell_angle_beta 60.00
_cell_angle_gamma 60.00
loop_
_atom_site_label
_atom_site_fract_x
_atom_site_fract_y
_atom_site_fract_z
Sc1 0.250 0.250 0.250
Cu1 0.750 0.750 0.750
Zr1 0.500 0.500 0.500
# ΔE to the lowest computed polymorph in meV per atom: 936.7
# Symmetry: F-43m, No. 216
# D(E_F) in states/eV/f.u.: 0.29


# PBE-GGA Dy2TmAg, optimized geometry
data_Dy2TmAg
_symmetry_space_group_name_H-M 'P 1'
_symmetry_Int_Tables_number 1
_symmetry_space_group_name_Hall 'P 1'
_cell_length_a 3.718
_cell_length_b 5.397
_cell_length_c 5.397
_cell_angle_alpha 90.00
_cell_angle_beta 90.00
_cell_angle_gamma 90.00
loop_
_atom_site_label
_atom_site_fract_x
_atom_site_fract_y
_atom_site_fract_z
Tm1 0.500 0.500 0.500
Ag1 0.500 0.000 0.000
Dy1 0.000 0.000 0.500
Dy2 0.000 0.500 0.000
# ΔE to the lowest computed polymorph in meV per atom: 123.1
# Symmetry: P4/mmm, No. 123
# D(E_F) in states/eV/f.u.: 4.76


# PBE-GGA Cs2Pu2TiS6, optimized geometry
data_Cs2Pu2TiS6
_symmetry_space_group_name_H-M 'P 1'
_symmetry_Int_Tables_number 1
_symmetry_space_group_name_Hall 'P 1'
_cell_length_a 6.753
_cell_length_b 6.753
_cell_length_c 8.523
_cell_angle_alpha 97.81
_cell_angle_beta 97.81
_cell_angle_gamma 119.54
loop_
_atom_site_label
_atom_site_fract_x
_atom_site_fract_y
_atom_site_fract_z
Cs1 0.831 0.169 0.000
Cs2 0.169 0.831 0.000
Pu1 0.333 0.667 0.500
Pu2 0.667 0.333 0.500
Ti1 0.000 0.000 0.500
S1 0.751 0.751 0.671
S2 0.059 0.369 0.673
S3 0.249 0.249 0.329
S4 0.369 0.059 0.673
S5 0.941 0.631 0.327
S6 0.631 0.941 0.327
# Raw formation energy in kcal/mol of atoms: -34.3
# Symmetry: C2/m, No. 12
# D(E_F) in states/eV/f.u.: 19.29